No. 1
DFT (PBE-GGA) results for crystalline VBRu at its relaxed geometry.

Unit cell a=4.786 b=2.857 c=10.213 alpha=90.00 beta=96.36 gamma=90.00
Fractional coordinates of all 12 atoms:
B (0.790, 0.500, 0.401)
B (0.790, 0.000, 0.901)
B (0.159, 0.500, 0.401)
B (0.159, 0.000, 0.901)
V (0.013, 0.000, 0.549)
V (0.013, 0.500, 0.049)
V (0.441, 0.500, 0.243)
V (0.441, 0.000, 0.743)
Ru (0.507, 0.500, 0.545)
Ru (0.941, 0.000, 0.263)
Ru (0.507, 0.000, 0.045)
Ru (0.941, 0.500, 0.763)

Results
Its offset from the most stable computed form is 0.274 eV per atom.

No. 2
DFT (PBE-GGA) results for crystalline VBRu at its relaxed geometry.

Unit cell a=2.879 b=10.672 c=4.384 alpha=90.00 beta=90.00 gamma=90.00
Fractional coordinates of all 12 atoms:
V (0.000, 0.623, 0.830)
V (0.000, 0.877, 0.330)
V (0.000, 0.377, 0.830)
V (0.000, 0.123, 0.330)
Ru (0.500, 0.164, 0.799)
Ru (0.500, 0.836, 0.799)
Ru (0.500, 0.664, 0.299)
Ru (0.500, 0.336, 0.299)
B (0.500, 0.000, 0.090)
B (0.000, 0.000, 0.852)
B (0.000, 0.500, 0.352)
B (0.500, 0.500, 0.590)

Results
Its offset from the most stable computed form is 0.242 eV per atom.

No. 3
DFT (PBE-GGA) results for crystalline V5B2Ru at its relaxed geometry.

Unit cell a=3.084 b=5.731 c=5.731 alpha=77.91 beta=74.39 gamma=74.39
Fractional coordinates of all 8 atoms:
Ru (0.000, 0.000, 0.000)
V (0.341, 0.471, 0.848)
V (0.341, 0.848, 0.471)
V (0.659, 0.152, 0.529)
V (0.000, 0.500, 0.500)
V (0.659, 0.529, 0.152)
B (0.715, 0.785, 0.785)
B (0.285, 0.215, 0.215)

No. 4
DFT (PBE-GGA) results for crystalline VB2Ru at its relaxed geometry.

Unit cell a=2.930 b=4.334 c=5.977 alpha=90.00 beta=90.00 gamma=90.00
Fractional coordinates of all 8 atoms:
V (0.500, 0.632, 0.818)
V (0.500, 0.368, 0.318)
Ru (0.000, 0.857, 0.178)
Ru (0.000, 0.143, 0.678)
B (0.500, 0.853, 0.471)
B (0.000, 0.356, 0.033)
B (0.000, 0.644, 0.533)
B (0.500, 0.147, 0.971)

Results
Its offset from the most stable computed form is 0.000 eV per atom.

No. 5
DFT (PBE-GGA) results for crystalline VBRu at its relaxed geometry.

Unit cell a=6.341 b=2.930 c=8.864 alpha=90.00 beta=127.32 gamma=90.00
Fractional coordinates of all 12 atoms:
V (0.650, 0.000, 0.418)
V (0.350, 0.500, 0.082)
V (0.350, 0.000, 0.582)
V (0.650, 0.500, 0.918)
B (0.352, 0.500, 0.384)
B (0.648, 0.500, 0.616)
B (0.352, 0.000, 0.884)
B (0.648, 0.000, 0.116)
Ru (0.907, 0.500, 0.324)
Ru (0.093, 0.500, 0.676)
Ru (0.907, 0.000, 0.824)
Ru (0.093, 0.000, 0.176)

Results
Its offset from the most stable computed form is 0.032 eV per atom.

No. 6
DFT (PBE-GGA) results for crystalline VB2Ru at its relaxed geometry.

Unit cell a=3.088 b=3.088 c=5.244 alpha=72.88 beta=72.88 gamma=60.00
Fractional coordinates of all 4 atoms:
V (0.500, 0.500, 0.500)
Ru (0.000, 0.000, 0.000)
B (0.750, 0.750, 0.749)
B (0.250, 0.250, 0.251)

Results
Its offset from the most stable computed form is 0.359 eV per atom.

Number 1: raw total energy -103.04 eV for the cell shown. Number 2: raw total energy -103.43 eV for the cell shown. Number 3: raw total energy -69.07 eV for the cell shown. Number 4: raw total energy -67.48 eV for the cell shown. Number 5: raw total energy -105.94 eV for the cell shown. Number 6: raw total energy -32.30 eV for the cell shown.